No. 1
First-principles (SCAN) data for a crystal of Hg2TeBr relaxed with PBEsol, as listed in Alexandria.

Cell: 4.4458 4.4458 19.6742 Å, 90.00 90.00 120.00°
Space group R3m (No. 160, hexagonal axes)
Symmetry-distinct sites (fractional):
Hg 0.0000 0.0000 0.0000
Hg 0.0000 0.0000 0.2500
Te 0.0000 0.0000 0.7246
Br 0.0000 0.0000 0.5038

Properties
Calculated volume = 28.1 A^3/atom
DOS(E_F) = 6.4 states/eV/cell
Formation energy (no corrections) = -0.03 eV per atom
Excess energy over the best structure of this formula in the dataset = 0 meV/atom
Energy = -48.286 eV/atom



No. 2
First-principles (SCAN) data for a crystal of Cr2InI relaxed with PBEsol, as listed in Alexandria.

Cell: 6.885 6.885 6.885 Å, 90.00 90.00 90.00°
Space group Fm-3m (No. 225)
Symmetry-distinct sites (fractional):
Cr 0.250 0.250 0.250
In 0.000 0.000 0.000
I 0.000 0.000 0.500

Properties
Calculated volume = 20.4 A^3/atom
DOS(E_F) = 7.9 states/eV/cell
Formation energy (no corrections) = 0.58 eV per atom
Energy = -26.141 eV/atom



No. 3
First-principles (SCAN) data for a crystal of RbSnPtSe2 relaxed with PBEsol, as listed in Alexandria.

Cell: 5.289 5.289 4.983 Å, 90.00 90.00 90.00°
Space group P4/mmm (No. 123)
Symmetry-distinct sites (fractional):
Rb 0.000 0.000 0.000
Sn 0.500 0.500 0.000
Pt 0.500 0.500 0.500
Se 0.000 0.500 0.500

Properties
Calculated volume = 27.9 A^3/atom
DOS(E_F) = 3.1 states/eV/cell
Formation energy (no corrections) = -0.26 eV per atom
Energy = -33.667 eV/atom



No. 4
First-principles (SCAN) data for a crystal of CoIr5 relaxed with PBEsol, as listed in Alexandria.

Cell: 4.6637 4.6637 4.3148 Å, 90.00 90.00 120.00°
Space group P-62m (No. 189)
Symmetry-distinct sites (fractional):
Co 0.0000 0.0000 0.0000
Ir 0.0000 0.3267 0.5000
Ir 0.3333 0.6667 0.0000

Properties
Energy of formation from the pure elements = 0.067 eV per atom
Calculated volume = 13.5 A^3/atom
DOS(E_F) = 5.7 states/eV/cell
Energy = -62.066 eV/atom



No. 5
First-principles (SCAN) data for a crystal of ZnMoRh2 relaxed with PBEsol, as listed in Alexandria.

Cell: 6.067 6.067 6.067 Å, 90.00 90.00 90.00°
Space group F-43m (No. 216)
Symmetry-distinct sites (fractional):
Zn 0.000 0.000 0.000
Mo 0.250 0.250 0.250
Rh 0.000 0.000 0.500
Rh 0.250 0.250 0.750

Properties
Energy of formation from the pure elements = 0.131 eV per atom
Calculated volume = 14.0 A^3/atom
DOS(E_F) = 24.9 states/eV/cell
Energy = -28.855 eV/atom



No. 6
First-principles (SCAN) data for a crystal of ZrNbAl2Ga relaxed with PBEsol, as listed in Alexandria.

Cell: 4.914 4.914 4.870 Å, 90.00 90.00 90.00°
Space group P4/mmm (No. 123)
Symmetry-distinct sites (fractional):
Zr 0.000 0.000 0.000
Nb 0.500 0.500 0.500
Al 0.000 0.500 0.000
Ga 0.000 0.000 0.500

Properties
Energy of formation from the pure elements = 1.146 eV per atom
Calculated volume = 23.5 A^3/atom
DOS(E_F) = 4.1 states/eV/cell
Energy = -17.990 eV/atom



No. 7
First-principles (SCAN) data for a crystal of BAs2SBr relaxed with PBEsol, as listed in Alexandria.

Cell: 4.494 4.494 4.304 Å, 90.00 90.00 90.00°
Space group P4/mmm (No. 123)
Symmetry-distinct sites (fractional):
B 0.000 0.000 0.000
As 0.000 0.500 0.000
S 0.500 0.500 0.500
Br 0.000 0.000 0.500

Properties
Calculated volume = 17.4 A^3/atom
DOS(E_F) = 2.6 states/eV/cell
Formation energy (no corrections) = 1.01 eV per atom
Energy = -14.369 eV/atom



No. 8
First-principles (SCAN) data for a crystal of MnMoW relaxed with PBEsol, as listed in Alexandria.

Cell: 5.881 5.881 5.881 Å, 90.00 90.00 90.00°
Space group F-43m (No. 216)
Symmetry-distinct sites (fractional):
Mn 0.000 0.000 0.000
Mo 0.000 0.000 0.500
W 0.250 0.250 0.250

Properties
Energy of formation from the pure elements = 0.884 eV per atom
Calculated volume = 16.9 A^3/atom
DOS(E_F) = 12.9 states/eV/cell
Energy = -40.059 eV/atom